Below is a relaxed HoZn6Pt2 crystal, with properties calculated at the PBE level.

Structure (POSCAR):
```
HoZn6Pt2
1.0
-2.175 2.862 6.118
2.175 -2.862 6.118
2.175 2.862 -6.118
Ho Zn Pt
1 6 2
direct
0.000 0.000 0.000
0.043 0.302 0.741
0.295 0.500 0.795
0.440 0.698 0.741
0.560 0.302 0.259
0.705 0.500 0.205
0.957 0.698 0.259
0.382 0.882 0.500
0.618 0.118 0.500
```

Summary:
SG: Immm
Uncorrected energy, eV/cell: -27.49
Energy of formation, eV per atom: -0.354